This record from Alexandria via LeMat-Bulk describes KHfCu2Te4 after structural relaxation. The functional is PBE-GGA.

Output
Formation energy (no corrections)   -0.363 eV per atom
Raw total energy   -4.339 eV/atom
Crystal system   orthorhombic
M_tot   0.00 μB/f.u.

Cell lengths 6.5832, 7.3495, 7.3495 Å; angles 76.61, 63.39, 63.39 degrees
Last column: nearest neighbours and their distance in Å.
Fractional coordinates of all 8 atoms:
Te 0.5676 0.4755 0.8490  1 Cu 2.48, 1 Hf 2.75
Cu 0.8727 0.6273 0.6273  1 Cu 2.41, 2 Te 2.48
Hf 0.5000 0.5000 0.5000  4 Te 2.75
Cu 0.1273 0.3727 0.3727  1 Cu 2.41, 2 Te 2.48
Te 0.4324 0.1510 0.5245  1 Cu 2.48, 1 Hf 2.75
K 0.0000 0.0000 0.0000  8 Te 3.70-3.93
Te 0.8921 0.5245 0.1510  1 Cu 2.48, 1 Hf 2.75
Te 0.1079 0.8490 0.4755  1 Cu 2.48, 1 Hf 2.75

---

This record from Alexandria via LeMat-Bulk describes K2Hf2CuTe6 after structural relaxation. The functional is PBE-GGA.

Output
Formation energy (no corrections)   -0.704 eV per atom
Raw total energy   -4.799 eV/atom
Crystal system   monoclinic
M_tot   0.00 μB/f.u.

Cell lengths 7.1969, 7.1969, 8.8708 Å; angles 97.75, 97.75, 121.49 degrees
Last column: nearest neighbours and their distance in Å.
Fractional coordinates of all 11 atoms:
Te 0.7431 0.7431 0.6836  1 Cu 2.75, 2 Hf 2.92
K 0.1637 0.8363 0.0000  6 Te 3.54-3.55
Cu 0.0000 0.0000 0.5000  6 Te 2.75-2.92
Te 0.0691 0.4019 0.6951  2 Hf 2.87-2.90, 1 Cu 2.92
Hf 0.3309 0.6691 0.5000  6 Te 2.87-2.92
K 0.8363 0.1637 0.0000  6 Te 3.54-3.55
Hf 0.6691 0.3309 0.5000  6 Te 2.87-2.92
Te 0.5981 0.9309 0.3049  2 Hf 2.87-2.90, 1 Cu 2.92
Te 0.9309 0.5981 0.3049  2 Hf 2.87-2.90, 1 Cu 2.92
Te 0.2569 0.2569 0.3164  1 Cu 2.75, 2 Hf 2.92
Te 0.4019 0.0691 0.6951  2 Hf 2.87-2.90, 1 Cu 2.92

---

This record from Alexandria via LeMat-Bulk describes K4Hf3CuTe8 after structural relaxation. The functional is PBE-GGA.

Output
Formation energy (no corrections)   -0.802 eV per atom
Raw total energy   -4.769 eV/atom
Crystal system   trigonal
M_tot   0.00 μB/f.u.

Cell lengths 8.4788, 9.5430, 8.4828 Å; angles 116.40, 119.98, 90.00 degrees
Last column: nearest neighbours and their distance in Å.
Fractional coordinates of all 16 atoms:
Hf 0.5000 0.5000 0.5000  6 Te 2.91-2.95
Te 0.2299 0.6920 0.4597  1 Cu 2.90, 2 Hf 2.91
K 0.5000 0.0000 0.0000  6 Te 3.52-3.53
K 0.0000 0.0000 0.0000  6 Te 3.46-3.51
Te 0.2295 0.6917 0.9622  1 Cu 2.89, 2 Hf 2.92
Te 0.7701 0.3080 0.5403  1 Cu 2.90, 2 Hf 2.91
Hf 0.0000 0.5000 0.5000  6 Te 2.91-2.95
Te 0.7705 0.3083 0.0378  1 Cu 2.89, 2 Hf 2.92
Te 0.2672 0.3083 0.0378  1 Cu 2.89, 2 Hf 2.92
Cu 0.0000 0.5000 0.0000  6 Te 2.89-2.90
K 0.0000 0.0000 0.5000  6 Te 3.46-3.51
Hf 0.5000 0.5000 0.0000  6 Te 2.92-2.95
Te 0.7328 0.6917 0.9622  1 Cu 2.89, 2 Hf 2.92
Te 0.7340 0.7019 0.4680  3 Hf 2.95
K 0.5000 0.0000 0.5000  6 Te 3.46-3.51
Te 0.2660 0.2981 0.5320  3 Hf 2.95

---

This record from Alexandria via LeMat-Bulk describes LaHfCu after structural relaxation. The functional is PBE-GGA.

Output
Formation energy   30 kJ/mol of atoms
Raw total energy   -6.016 eV/atom
Crystal system   tetragonal
M_tot   0.00 μB/f.u.

Cell lengths 4.2449, 4.2449, 7.5378 Å; angles 90.00, 90.00, 90.00 degrees
Last column: nearest neighbours and their distance in Å.
Fractional coordinates of all 6 atoms:
Cu 0.5000 0.0000 0.2125  1 Hf 2.45
La 0.0000 0.0000 0.5000  4 La 3.00, 4 Cu 3.03
Hf 0.0000 0.5000 0.1127  1 Cu 2.45
Hf 0.5000 0.0000 0.8873  1 Cu 2.45
Cu 0.0000 0.5000 0.7875  1 Hf 2.45
La 0.5000 0.5000 0.5000  4 La 3.00, 4 Cu 3.03

---

This record from Alexandria via LeMat-Bulk describes LaHfCu after structural relaxation. The functional is PBE-GGA.

Output
Formation energy   6 kJ/mol of atoms
Raw total energy   -6.261 eV/atom
Crystal system   monoclinic
M_tot   0.00 μB/f.u.

Cell lengths 7.1376, 6.1916, 3.4478 Å; angles 73.83, 103.99, 102.97 degrees
Last column: nearest neighbours and their distance in Å.
Fractional coordinates of all 6 atoms:
Hf 0.0669 0.9693 0.8460  3 Cu 2.84-2.98
Cu 0.4618 0.2622 0.8970  1 Cu 2.56, 2 Hf 2.70
Cu 0.7700 0.0767 0.1440  1 Cu 2.56, 2 Hf 2.84
La 0.7596 0.5439 0.4049  5 Cu 2.98-3.28
La 0.1875 0.4562 0.1628  2 Cu 2.94
Hf 0.4449 0.9109 0.5644  4 Cu 2.70-2.88

---

This record from Alexandria via LeMat-Bulk describes La2Hf2Cu after structural relaxation. The functional is PBE-GGA.

Output
Formation energy   23 kJ/mol of atoms
Raw total energy   -6.533 eV/atom
Crystal system   tetragonal
M_tot   0.00 μB/f.u.

Cell lengths 7.0756, 7.0756, 5.2540 Å; angles 90.00, 90.00, 90.00 degrees
Last column: nearest neighbours and their distance in Å.
Fractional coordinates of all 10 atoms:
Cu 0.0000 0.0000 0.0000  4 Hf 2.70
Hf 0.3505 0.8505 0.0000  2 Cu 2.70, 1 Hf 2.99
La 0.8353 0.3353 0.5000  6 Hf 3.22-3.44, 1 La 3.30
Hf 0.6495 0.1495 0.0000  2 Cu 2.70, 1 Hf 2.99
Cu 0.5000 0.5000 0.0000  4 Hf 2.70
Hf 0.8505 0.6495 0.0000  2 Cu 2.70, 1 Hf 2.99
La 0.3353 0.1647 0.5000  6 Hf 3.22-3.44, 1 La 3.30
Hf 0.1495 0.3505 0.0000  2 Cu 2.70, 1 Hf 2.99
La 0.1647 0.6647 0.5000  6 Hf 3.22-3.44, 1 La 3.30
La 0.6647 0.8353 0.5000  6 Hf 3.22-3.44, 1 La 3.30

---

This record from Alexandria via LeMat-Bulk describes LaHfCu after structural relaxation. The functional is PBE-GGA.

Output
Formation energy   -3 kJ/mol of atoms
Raw total energy   -6.359 eV/atom
Crystal system   monoclinic
M_tot   0.00 μB/f.u.

Cell lengths 3.4185, 8.2442, 5.0899 Å; angles 90.00, 90.01, 102.08 degrees
Last column: nearest neighbours and their distance in Å.
Fractional coordinates of all 6 atoms:
Hf 0.6602 0.3133 0.5847  2 Cu 2.68-2.69
Hf 0.1265 0.2465 0.0846  2 Cu 2.68
La 0.8173 0.6265 0.0860  6 Cu 3.10-3.40, 2 La 3.42
Cu 0.4970 0.9899 0.0866  2 Hf 2.68
Cu 0.2889 0.5699 0.5868  2 Hf 2.68-2.69
La 0.9695 0.9333 0.5859  6 Cu 3.09-3.40, 2 La 3.42

---

This record from Alexandria via LeMat-Bulk describes LaHfCu after structural relaxation. The functional is PBE-GGA.

Output
Formation energy   12 kJ/mol of atoms
Raw total energy   -6.198 eV/atom
Crystal system   orthorhombic
M_tot   0.00 μB/f.u.

Cell lengths 8.4326, 3.2914, 9.8535 Å; angles 90.00, 90.00, 90.00 degrees
Last column: nearest neighbours and their distance in Å.
Fractional coordinates of all 12 atoms:
Hf 0.4451 0.2500 0.3776  4 Cu 2.83-3.13, 2 Hf 3.06, 1 La 3.16
Cu 0.8464 0.2500 0.7260  4 Hf 2.83-3.13, 3 La 2.93-3.02
Hf 0.9451 0.2500 0.1224  4 Cu 2.83-3.13, 2 Hf 3.06, 1 La 3.16
Cu 0.3464 0.2500 0.7740  4 Hf 2.83-3.13, 3 La 2.93-3.02
La 0.8370 0.2500 0.4291  3 Cu 2.93-3.02, 1 Hf 3.16
La 0.3370 0.2500 0.0709  3 Cu 2.93-3.02, 1 Hf 3.16
La 0.1630 0.7500 0.5709  3 Cu 2.93-3.02, 1 Hf 3.16
La 0.6630 0.7500 0.9291  3 Cu 2.93-3.02, 1 Hf 3.16
Hf 0.0549 0.7500 0.8776  4 Cu 2.83-3.13, 2 Hf 3.06, 1 La 3.16
Hf 0.5549 0.7500 0.6224  4 Cu 2.83-3.13, 2 Hf 3.06, 1 La 3.16
Cu 0.6536 0.7500 0.2260  4 Hf 2.83-3.13, 3 La 2.93-3.02
Cu 0.1536 0.7500 0.2740  4 Hf 2.83-3.13, 3 La 2.93-3.02

---

This record from Alexandria via LeMat-Bulk describes LaHfCu after structural relaxation. The functional is PBE-GGA.

Output
Formation energy   10 kJ/mol of atoms
Raw total energy   -6.223 eV/atom
Crystal system   monoclinic
M_tot   0.30 μB/f.u.

Cell lengths 4.7657, 7.0927, 4.7480 Å; angles 89.98, 59.92, 90.00 degrees
Last column: nearest neighbours and their distance in Å.
Fractional coordinates of all 6 atoms:
Hf 0.1153 0.1087 0.0327  6 Cu 2.99-3.13, 3 Hf 3.07-3.08
Cu 0.7838 0.2801 0.6971  1 Hf 2.60, 3 La 2.85
La 0.4495 0.3895 0.3650  3 Cu 2.85
Hf 0.7806 0.9135 0.7015  4 Cu 2.60-2.75
La 0.1144 0.6292 0.0340  3 La 3.23, 3 Cu 3.33-3.35, 4 Hf 3.40-3.41
Cu 0.4470 0.8983 0.3690  3 Hf 2.74-2.75

---

This record from Alexandria via LeMat-Bulk describes LaHfCu after structural relaxation. The functional is PBE-GGA.

Output
Formation energy   10 kJ/mol of atoms
Raw total energy   -6.221 eV/atom
Crystal system   triclinic
M_tot   0.00 μB/f.u.

Cell lengths 6.0253, 8.1878, 3.3414 Å; angles 65.98, 106.12, 111.60 degrees
Last column: nearest neighbours and their distance in Å.
Fractional coordinates of all 6 atoms:
La 0.3312 0.4220 0.2854  3 Cu 2.97-3.19
Hf 0.9366 0.0789 0.9315  4 Cu 2.75-2.86, 2 Hf 3.03-3.04
Cu 0.3072 0.0194 0.6776  4 Hf 2.69-2.86, 2 Cu 2.74-2.75, 1 La 2.97
Hf 0.5259 0.8369 0.4685  3 Cu 2.69-2.79
La 0.9292 0.6356 0.3803  4 Hf 3.30-3.56, 5 La 3.34-3.61, 4 Cu 3.43-3.50
Cu 0.6605 0.2264 0.1467  2 Cu 2.74-2.75, 3 Hf 2.75-2.79

---

This record from Alexandria via LeMat-Bulk describes LaHfCu after structural relaxation. The functional is PBE-GGA.

Output
Formation energy   98 kJ/mol of atoms
Raw total energy   -5.305 eV/atom
Crystal system   cubic
M_tot   0.00 μB/f.u.

Cell lengths 4.7729, 4.7729, 4.7729 Å; angles 60.00, 60.00, 60.00 degrees
Last column: nearest neighbours and their distance in Å.
Fractional coordinates of all 3 atoms:
Cu 0.7500 0.7500 0.7500  4 La 2.92
La 0.0000 0.0000 0.0000  4 Cu 2.92, 4 Hf 2.92
Hf 0.2500 0.2500 0.2500  4 La 2.92

---

This record from Alexandria via LeMat-Bulk describes La3HfCu after structural relaxation. The functional is PBE-GGA.

Output
Formation energy   74 kJ/mol of atoms
Raw total energy   -4.995 eV/atom
Crystal system   cubic
M_tot   0.00 μB/f.u.

Cell lengths 5.7302, 5.7302, 5.7302 Å; angles 90.00, 90.00, 90.00 degrees
Last column: nearest neighbours and their distance in Å.
Fractional coordinates of all 5 atoms:
Cu 0.5000 0.5000 0.5000  12 La 4.05
La 0.5000 0.0000 0.0000  2 Hf 2.87
Hf 0.0000 0.0000 0.0000  6 La 2.87
La 0.0000 0.0000 0.5000  2 Hf 2.87
La 0.0000 0.5000 0.0000  2 Hf 2.87

---

This record from Alexandria via LeMat-Bulk describes La2HfCu after structural relaxation. The functional is PBE-GGA.

Output
Formation energy   36 kJ/mol of atoms
Raw total energy   -5.608 eV/atom
Crystal system   tetragonal
M_tot   0.00 μB/f.u.

Cell lengths 8.4263, 8.4263, 6.6912 Å; angles 50.98, 50.98, 90.00 degrees
Last column: nearest neighbours and their distance in Å.
Fractional coordinates of all 8 atoms:
Hf 0.7500 0.2500 0.5000  2 Cu 3.04, 4 La 3.35
Cu 0.2500 0.7500 0.5000  4 La 2.83, 2 Hf 3.04
Cu 0.5000 0.5000 0.0000  4 La 2.83, 2 Hf 3.04
La 0.5798 0.1250 0.2500  2 Cu 2.83, 2 La 3.14
La 0.1702 0.6250 0.2500  2 Cu 2.83, 2 La 3.14
Hf 0.0000 0.0000 0.0000  2 Cu 3.04, 4 La 3.35
La 0.8750 0.8298 0.7500  2 Cu 2.83, 2 La 3.14
La 0.3750 0.4202 0.7500  2 Cu 2.83, 2 La 3.14